A geometry-optimized Sr2ZnCu structure. Source: the Alexandria database, functional GGA-PBE.

## Properties
The calculated density is 4.4 g/cm³. Its crystal system is tetragonal. The calculation puts the uncorrected energy at -2.248 eV per atom.

POSCAR file:
```
Sr2ZnCu
1.0
5.466 0.048 -0.049
-0.046 5.466 -0.049
0.034 0.035 3.813
Sr Zn Cu
2 1 1
Direct
0.000 0.000 0.000 Sr
0.500 0.500 0.000 Sr
0.500 0.000 0.500 Zn
0.000 0.500 0.500 Cu
```


A geometry-optimized AlCuN structure. Source: the Alexandria database, functional GGA-PBE.

## Properties
The value obtained for the uncorrected formation energy is -37.4 kJ per mole of atoms. For the energy relative to the lowest polymorph listed for this composition, the calculation gives 0.10 eV per formula unit. The calculated density is 5.2 g/cm³. Its crystal system is orthorhombic. The calculation puts the uncorrected energy at -5.775 eV per atom.

POSCAR file:
```
AlCuN
1.0
-0.768 2.514 -2.145
-3.706 -1.313 -0.212
-2.527 5.876 7.789
Al Cu N
4 4 4
Direct
0.500 0.000 0.295 Al
0.500 0.000 0.705 Al
0.000 0.500 0.795 Al
0.000 0.500 0.205 Al
0.000 0.000 0.000 Cu
0.500 0.500 0.500 Cu
0.500 0.500 0.000 Cu
0.000 0.000 0.500 Cu
0.000 0.000 0.798 N
0.000 0.000 0.202 N
0.500 0.500 0.298 N
0.500 0.500 0.702 N
```


A geometry-optimized Tb2DyHoTm structure. Source: the Alexandria database, functional GGA-PBE.

## Properties
The calculated density is 8.0 g/cm³. Its crystal system is orthorhombic. The calculation puts the uncorrected energy at -4.173 eV per atom.

POSCAR file:
```
Tb2DyHoTm
1.0
7.175 0.000 0.000
0.000 8.306 0.000
0.000 -4.153 5.668
Tb Dy Ho Tm
4 2 2 2
Direct
0.500 0.308 0.000 Tb
0.000 0.692 0.000 Tb
0.500 0.692 0.000 Tb
0.000 0.308 0.000 Tb
0.250 0.726 0.451 Dy
0.750 0.274 0.549 Dy
0.750 0.725 0.450 Ho
0.250 0.275 0.550 Ho
0.250 0.000 0.000 Tm
0.750 0.000 0.000 Tm
```


A geometry-optimized InAsSe4 structure. Source: the Alexandria database, functional GGA-PBE.

## Properties
The value obtained for the uncorrected formation energy is -12.7 kJ per mole of atoms. For the energy relative to the lowest polymorph listed for this composition, the calculation gives 0.00 eV per formula unit. The calculated density is 5.6 g/cm³. Its crystal system is monoclinic. The calculation puts the uncorrected energy at -3.686 eV per atom.

POSCAR file:
```
InAsSe4
1.0
3.960 0.000 0.000
0.000 5.498 -0.639
0.000 -0.625 6.964
In As Se
1 1 4
Direct
0.500 0.000 0.500 In
0.000 0.000 0.000 As
0.000 0.708 0.632 Se
0.500 0.270 0.879 Se
0.500 0.730 0.121 Se
0.000 0.292 0.368 Se
```


A geometry-optimized HfTcSbI2 structure. Source: the Alexandria database, functional GGA-PBE.

## Properties
The value obtained for the uncorrected formation energy is 86.4 kJ per mole of atoms. For the energy relative to the lowest polymorph listed for this composition, the calculation gives 0.00 eV per formula unit. The calculated density is 6.1 g/cm³. Its crystal system is tetragonal. The calculation puts the uncorrected energy at -4.613 eV per atom.

POSCAR file:
```
HfTcSbI2
1.0
5.557 0.000 0.000
0.000 5.557 0.000
0.000 0.000 5.748
I Sb Hf Tc
2 1 1 1
Direct
0.000 0.500 0.000 I
0.500 0.000 0.000 I
0.000 0.000 0.500 Sb
0.000 0.000 0.000 Hf
0.500 0.500 0.500 Tc
```


A geometry-optimized CaDy2Tl structure. Source: the Alexandria database, functional GGA-PBE.

## Properties
For the energy relative to the lowest polymorph listed for this composition, the calculation gives 0.22 eV per formula unit. The calculated density is 7.3 g/cm³. Its crystal system is tetragonal. The calculation puts the uncorrected energy at -3.478 eV per atom.

POSCAR file:
```
CaDy2Tl
1.0
3.678 0.000 0.000
0.000 3.678 0.000
0.000 0.000 9.531
Tl Ca Dy
1 1 2
Direct
0.500 0.500 0.000 Tl
0.500 0.500 0.500 Ca
0.000 0.000 0.793 Dy
0.000 0.000 0.207 Dy
```


A geometry-optimized CeNd4Ho5 structure. Source: the Alexandria database, functional GGA-PBE.

## Properties
For the energy relative to the lowest polymorph listed for this composition, the calculation gives 0.00 eV per formula unit. The calculated density is 7.9 g/cm³. Its crystal system is tetragonal. The calculation puts the uncorrected energy at -4.755 eV per atom.

POSCAR file:
```
CeNd4Ho5
1.0
-2.633 0.790 -2.316
-1.574 -3.151 0.714
-13.092 10.745 18.550
Ce Nd Ho
1 4 5
Direct
0.000 0.000 0.000 Ce
0.000 0.000 0.196 Nd
0.000 0.000 0.399 Nd
0.000 0.000 0.601 Nd
0.000 0.000 0.804 Nd
0.500 0.500 0.093 Ho
0.500 0.500 0.297 Ho
0.500 0.500 0.500 Ho
0.500 0.500 0.703 Ho
0.500 0.500 0.907 Ho
```


A geometry-optimized BaTe2IBr structure. Source: the Alexandria database, functional GGA-PBE.

## Properties
The value obtained for the uncorrected formation energy is -5.4 kJ per mole of atoms. For the energy relative to the lowest polymorph listed for this composition, the calculation gives 1.66 eV per formula unit. The calculated density is 3.1 g/cm³. Its crystal system is tetragonal. The calculation puts the uncorrected energy at -2.341 eV per atom.

POSCAR file:
```
BaTe2IBr
1.0
-2.604 0.753 6.492
-2.878 -6.407 -0.411
5.460 -2.613 2.493
I Te Ba Br
1 2 1 1
Direct
0.000 0.000 0.500 I
0.000 0.500 0.000 Te
0.500 0.000 0.000 Te
0.000 0.000 0.000 Ba
0.500 0.500 0.500 Br
```


A geometry-optimized LiB4C4 structure. Source: the Alexandria database, functional GGA-PBE.

## Properties
For the energy relative to the lowest polymorph listed for this composition, the calculation gives 1.26 eV per formula unit. The calculated density is 1.8 g/cm³. Its crystal system is orthorhombic. The calculation puts the uncorrected energy at -7.050 eV per atom.

POSCAR file:
```
LiB4C4
1.0
7.724 0.134 4.076
6.230 4.539 1.326
0.018 -0.053 5.402
C B Li
8 8 2
Direct
0.201 0.549 0.452 C
0.288 0.940 0.560 C
0.202 0.548 0.952 C
0.299 0.951 0.049 C
0.703 0.047 0.453 C
0.799 0.451 0.549 C
0.702 0.048 0.951 C
0.810 0.462 0.038 C
0.962 0.288 0.712 B
0.540 0.210 0.290 B
0.973 0.300 0.200 B
0.538 0.212 0.791 B
0.450 0.777 0.723 B
0.041 0.709 0.288 B
0.462 0.788 0.212 B
0.040 0.710 0.790 B
0.995 0.005 0.495 Li
0.745 0.755 0.745 Li
```


A geometry-optimized KFeCo2 structure. Source: the Alexandria database, functional GGA-PBE.

## Properties
For the energy relative to the lowest polymorph listed for this composition, the calculation gives 0.00 eV per formula unit. The calculated density is 4.9 g/cm³. Its crystal system is monoclinic. The calculation puts the uncorrected energy at -5.309 eV per atom.

POSCAR file:
```
KFeCo2
1.0
3.523 0.000 0.000
0.000 2.681 -0.016
0.000 2.351 7.577
Co Fe K
2 1 1
Direct
0.000 0.908 0.103 Co
0.500 0.291 0.240 Co
0.000 0.643 0.398 Fe
0.500 0.657 0.758 K
```


A geometry-optimized Mn2CrIr2 structure. Source: the Alexandria database, functional GGA-PBE.

## Properties
For the energy relative to the lowest polymorph listed for this composition, the calculation gives 0.46 eV per formula unit. The calculated density is 13.5 g/cm³. Its crystal system is tetragonal. The calculation puts the uncorrected energy at -8.937 eV per atom.

POSCAR file:
```
Mn2CrIr2
1.0
-4.310 2.933 -4.848
-5.593 -1.225 4.231
0.338 2.366 1.131
Cr Ir Mn
2 4 4
Direct
0.000 0.000 0.000 Cr
0.500 0.500 0.000 Cr
0.370 0.870 0.000 Ir
0.870 0.630 0.000 Ir
0.630 0.130 0.000 Ir
0.130 0.370 0.000 Ir
0.168 0.668 0.500 Mn
0.668 0.832 0.500 Mn
0.832 0.332 0.500 Mn
0.332 0.168 0.500 Mn
```


A geometry-optimized NdSm2HoSe6 structure. Source: the Alexandria database, functional GGA-PBE.

## Properties
The value obtained for the uncorrected formation energy is -177.7 kJ per mole of atoms. The calculated density is 5.8 g/cm³. Its crystal system is trigonal. The calculation puts the uncorrected energy at -5.811 eV per atom.

POSCAR file:
```
NdSm2HoSe6
1.0
7.360 0.001 0.001
3.680 6.373 0.000
3.680 2.125 6.561
Nd Sm Ho Se
1 2 1 6
Direct
0.315 0.315 0.056 Nd
0.515 0.515 0.455 Sm
0.018 0.018 0.946 Sm
0.819 0.819 0.544 Ho
0.620 0.214 0.254 Se
0.214 0.912 0.254 Se
0.912 0.620 0.254 Se
0.427 0.718 0.751 Se
0.718 0.105 0.751 Se
0.105 0.427 0.751 Se
```


| no. | N(E_F) (states/eV/cell) |
| --- | --- |
| 1 | 3.05 |
| 2 | 1.89 |
| 3 | 14.09 |
| 4 | 2.93 |
| 5 | 4.40 |
| 6 | 5.58 |
| 7 | 15.42 |
| 8 | 5.70 |
| 9 | 3.75 |
| 10 | 3.87 |
| 11 | 12.60 |
| 12 | 0.00 |